1.
# PBE NaZnGa2Se4, relaxed
data_NaZnGa2Se4
_space_group_name_H-M_alt 'I -4 2 m'
_space_group_IT_number 121
_space_group_name_Hall 'I -4 2'
_cell_length_a 6.117
_cell_length_b 6.117
_cell_length_c 11.472
_cell_angle_alpha 90.00
_cell_angle_beta 90.00
_cell_angle_gamma 90.00
loop_
_atom_site_label
_atom_site_type_symbol
_atom_site_fract_x
_atom_site_fract_y
_atom_site_fract_z
_atom_site_occupancy
Na1 Na 0.000 0.000 0.000 1
Zn1 Zn 0.000 0.000 0.500 1
Ga1 Ga 0.000 0.500 0.250 1
Se1 Se 0.228 0.228 0.633 1
# * theoretical density: 4206 kg/m³
# * DOS at the Fermi energy: 4.80 states/eV per cell
# * total magnetic moment: 0.00 Bohr magnetons per cell
# * volume: 429 Å³ per cell
# * electronic total energy: -3.458 eV per atom

=====

2.
# PBE La5Pm2Sm6, relaxed
data_La5Pm2Sm6
_space_group_name_H-M_alt 'P b a m'
_space_group_IT_number 55
_cell_length_a 11.896
_cell_length_b 21.169
_cell_length_c 3.679
_cell_angle_alpha 90.00
_cell_angle_beta 90.00
_cell_angle_gamma 90.00
loop_
_space_group_symop_operation_xyz
'x,y,z'
'-x,-y,-z'
'-x,-y,z'
'x,y,-z'
'x+1/2,-y+1/2,-z'
'-x+1/2,y+1/2,z'
'-x+1/2,y+1/2,-z'
'x+1/2,-y+1/2,z'
loop_
_atom_site_label
_atom_site_type_symbol
_atom_site_fract_x
_atom_site_fract_y
_atom_site_fract_z
_atom_site_occupancy
La1 La 0.000 0.000 0.000 1
La2 La 0.065 0.284 0.000 1
La3 La 0.197 0.564 0.000 1
Pm1 Pm 0.193 0.724 0.500 1
Sm1 Sm 0.067 0.139 0.500 1
Sm2 Sm 0.071 0.430 0.500 1
Sm3 Sm 0.186 0.871 0.000 1
# * theoretical density: 6764 kg/m³
# * energy of formation: 0.085 eV/atom
# * DOS at the Fermi energy: 34.28 states/eV per cell
# * total magnetic moment: 0.00 Bohr magnetons per cell
# * volume: 926 Å³ per cell
# * electronic total energy: -4.720 eV per atom

=====

3.
# PBE Pm3Y2ErTe6, relaxed
data_Pm3Y2ErTe6
_space_group_name_H-M_alt 'C 1 2/m 1'
_space_group_IT_number 12
_cell_length_a 19.280
_cell_length_b 4.373
_cell_length_c 8.894
_cell_angle_alpha 90.00
_cell_angle_beta 104.14
_cell_angle_gamma 90.00
loop_
_space_group_symop_operation_xyz
'x,y,z'
'-x,-y,-z'
'-x,y,-z'
'x,-y,z'
'x+1/2,y+1/2,z'
'-x+1/2,-y+1/2,-z'
'-x+1/2,y+1/2,-z'
'x+1/2,-y+1/2,z'
loop_
_atom_site_label
_atom_site_type_symbol
_atom_site_fract_x
_atom_site_fract_y
_atom_site_fract_z
_atom_site_occupancy
Pm1 Pm 0.000 0.000 0.000 1
Pm2 Pm 0.168 0.500 0.333 1
Y1 Y 0.168 0.500 0.835 1
Er1 Er 0.000 0.000 0.500 1
Te1 Te 0.002 0.500 0.742 1
Te2 Te 0.163 0.000 0.587 1
Te3 Te 0.168 0.000 0.078 1
# * theoretical density: 7059 kg/m³
# * DOS at the Fermi energy: 12.60 states/eV per cell
# * total magnetic moment: 0.00 Bohr magnetons per cell
# * volume: 727 Å³ per cell
# * electronic total energy: -5.562 eV per atom

=====

4.
# PBE La2TmPaN4, relaxed
data_La2TmPaN4
_space_group_name_H-M_alt 'P 1 2/m 1'
_space_group_IT_number 10
_cell_length_a 6.089
_cell_length_b 3.578
_cell_length_c 6.329
_cell_angle_alpha 90.00
_cell_angle_beta 108.74
_cell_angle_gamma 90.00
loop_
_space_group_symop_operation_xyz
'x,y,z'
'-x,-y,-z'
'-x,y,-z'
'x,-y,z'
loop_
_atom_site_label
_atom_site_type_symbol
_atom_site_fract_x
_atom_site_fract_y
_atom_site_fract_z
_atom_site_occupancy
La1 La 0.000 0.000 0.000 1
La2 La 0.500 0.500 0.000 1
Tm1 Tm 0.000 0.500 0.500 1
Pa1 Pa 0.500 0.000 0.500 1
N1 N 0.250 0.000 0.714 1
N2 N 0.270 0.500 0.291 1
# * theoretical density: 9331 kg/m³
# * DOS at the Fermi energy: 2.99 states/eV per cell
# * total magnetic moment: 0.00 Bohr magnetons per cell
# * volume: 131 Å³ per cell
# * electronic total energy: -8.720 eV per atom

=====

5.
# PBE AcCd2Ag2Ge, relaxed
data_AcCd2Ag2Ge
_space_group_name_H-M_alt 'I 4/m m m'
_space_group_IT_number 139
_space_group_name_Hall '-I 4 2'
_cell_length_a 4.483
_cell_length_b 4.483
_cell_length_c 16.854
_cell_angle_alpha 90.00
_cell_angle_beta 90.00
_cell_angle_gamma 90.00
loop_
_atom_site_label
_atom_site_type_symbol
_atom_site_fract_x
_atom_site_fract_y
_atom_site_fract_z
_atom_site_occupancy
Ac1 Ac 0.000 0.000 0.000 1
Cd1 Cd 0.000 0.500 0.250 1
Ag1 Ag 0.000 0.000 0.353 1
Ge1 Ge 0.000 0.000 0.500 1
# * theoretical density: 7259 kg/m³
# * energy of formation: -0.079 eV/atom
# * DOS at the Fermi energy: 4.75 states/eV per cell
# * total magnetic moment: 0.00 Bohr magnetons per cell
# * volume: 339 Å³ per cell
# * electronic total energy: -2.789 eV per atom

=====

6.
# PBE Li2Sn2Pb, relaxed
data_Li2Sn2Pb
_space_group_name_H-M_alt 'P -3 m 1'
_space_group_IT_number 164
_space_group_name_Hall '-P 3 2"'
_cell_length_a 4.7940
_cell_length_b 4.7940
_cell_length_c 5.8371
_cell_angle_alpha 90.00
_cell_angle_beta 90.00
_cell_angle_gamma 120.00
loop_
_atom_site_label
_atom_site_type_symbol
_atom_site_fract_x
_atom_site_fract_y
_atom_site_fract_z
_atom_site_occupancy
Li1 Li 0.3333 0.6667 0.3502 1
Sn1 Sn 0.3333 0.6667 0.8578 1
Pb1 Pb 0.0000 0.0000 0.5000 1
# * theoretical density: 6555 kg/m³
# * energy of formation: -0.196 eV/atom
# * DOS at the Fermi energy: 1.30 states/eV per cell
# * total magnetic moment: 0.00 Bohr magnetons per cell
# * volume: 116 Å³ per cell
# * electronic total energy: -3.304 eV per atom
# * distance to the lowest polymorph of the same formula: 21.6 meV per atom

=====

7.
# PBE HoTmAl4, relaxed
data_HoTmAl4
_space_group_name_H-M_alt 'F -4 3 m'
_space_group_IT_number 216
_space_group_name_Hall 'F -4 2 3'
_cell_length_a 7.816
_cell_length_b 7.816
_cell_length_c 7.816
_cell_angle_alpha 90.00
_cell_angle_beta 90.00
_cell_angle_gamma 90.00
loop_
_atom_site_label
_atom_site_type_symbol
_atom_site_fract_x
_atom_site_fract_y
_atom_site_fract_z
_atom_site_occupancy
Ho1 Ho 0.000 0.000 0.000 1
Tm1 Tm 0.250 0.250 0.250 1
Al1 Al 0.125 0.125 0.625 1
# * theoretical density: 6145 kg/m³
# * energy of formation: -0.507 eV/atom
# * DOS at the Fermi energy: 20.46 states/eV per cell
# * total magnetic moment: 0.00 Bohr magnetons per cell
# * volume: 478 Å³ per cell
# * electronic total energy: -4.510 eV per atom

=====

8.
# PBE PrNiB, relaxed
data_PrNiB
_space_group_name_H-M_alt 'P -1'
_space_group_IT_number 2
_cell_length_a 3.340
_cell_length_b 5.386
_cell_length_c 5.995
_cell_angle_alpha 111.57
_cell_angle_beta 106.13
_cell_angle_gamma 90.03
loop_
_space_group_symop_operation_xyz
'x,y,z'
'-x,-y,-z'
loop_
_atom_site_label
_atom_site_type_symbol
_atom_site_fract_x
_atom_site_fract_y
_atom_site_fract_z
_atom_site_occupancy
Pr1 Pr 0.108 0.305 0.218 1
Ni1 Ni 0.384 0.237 0.770 1
B1 B 0.225 0.911 0.450 1
# * theoretical density: 7301 kg/m³
# * energy of formation: -0.232 eV/atom
# * DOS at the Fermi energy: 4.06 states/eV per cell
# * total magnetic moment: 0.00 Bohr magnetons per cell
# * volume: 96 Å³ per cell
# * electronic total energy: -5.978 eV per atom
# * distance to the lowest polymorph of the same formula: 0.0 meV per atom